This record from Alexandria via LeMat-Bulk describes a geometry-optimized Pr2CuIrO6 structure. The functional is PBE-GGA.

abc: 10.3068 5.3577 5.5128
angles: 90.00 122.13 90.00
Space group C2/m (No. 12)
One atom of each set of equivalent atoms:
Pr 0.2503 0.0000 0.2322
Cu 0.0000 0.0000 0.5000
Ir 0.0000 0.5000 0.0000
O 0.0665 0.2483 0.8157
O 0.2269 0.5000 0.3245

energy relative to the elements, uncorrected: -1.964 eV/atom
crystal system: monoclinic